The following is a PBE calculation of TiSbO2 after structural relaxation, from the Alexandria database.

```
TiSbO2
1.0
-5.126 -4.647 6.167
-2.939 -3.610 8.015
-5.333 -1.850 7.351
Sb O Ti
1 2 1
Cartesian
0.000 0.000 0.000
-11.636 -8.778 18.702
-1.761 -1.329 2.831
-6.699 -5.053 10.766
```

Values from the calculation:
The energy above the most stable polymorph in this dataset is 0 meV per atom. Its total magnetization is 0.55 μB/f.u.